Entry from the Alexandria database: a geometry-optimized TbPrEu2 structure (GGA-PBE). Values from VASP.

Calculated values
SG: No. 225
Volume, A^3/atom: 36.92
Formation energy from the elements, meV/atom: 141
Distance to the lowest polymorph of the same formula, meV/atom: 57

Cell and atoms, written as Quantum ESPRESSO input:
```
&SYSTEM
  ibrav = 0, nat = 4, ntyp = 3
/
ATOMIC_SPECIES
Tb 158.93 Tb.upf
Pr 140.91 Pr.upf
Eu 151.96 Eu.upf
CELL_PARAMETERS angstrom
0.000 4.195 4.195
4.195 0.000 4.195
4.195 4.195 0.000
ATOMIC_POSITIONS crystal
Tb 0.000 0.000 0.000
Pr 0.500 0.500 0.500
Eu 0.250 0.250 0.250
Eu 0.750 0.750 0.750
```